1.
A relaxed KTeRuI2 crystal, computed with PBE-GGA.

Summary:
The calculated volume comes out at 171 Å³/cell. The value obtained for the total energy is -3.585 eV per atom. The offset from the most stable computed form is 0.000 eV/atom. The energy relative to the elements, uncorrected is -1.31 eV/f.u.

The structure in extended XYZ format:
```
5
Lattice="5.8439 0.0000 0.0000 0.0000 5.8439 0.0000 0.0000 0.0000 4.9995" Properties=species:S:1:pos:R:3 pbc="T T T"
K 2.9220 2.9220 2.4998
Ru 0.0000 0.0000 0.0000
I 2.9220 0.0000 0.0000
I 0.0000 2.9220 0.0000
Te 0.0000 0.0000 2.4998
```

2.
A relaxed K6SI4 crystal, computed with PBE-GGA.

Summary:
The calculated volume comes out at 977 Å³/cell. The value obtained for the total energy is -2.873 eV per atom. The energy relative to the elements, uncorrected is -14.69 eV/f.u.

The structure in extended XYZ format:
```
22
Lattice="-0.9580 -9.7809 -1.3586 9.8338 -1.1035 0.7133 -0.8905 -1.2333 9.8038" Properties=species:S:1:pos:R:3 pbc="T T T"
I 1.5511 -3.6461 7.1915
I 1.2614 -9.4446 2.7794
I 6.7238 -2.6731 6.3791
I 6.4342 -8.4716 1.9670
I 2.3101 -8.8601 7.9682
I 5.6751 -3.2577 1.1903
I 0.5023 -4.2307 2.0028
I 7.4829 -7.8870 7.1557
K 1.0429 -6.3941 5.0218
K 8.1692 -4.9958 9.3596
K 3.6134 -6.3647 1.6176
K 8.7947 -1.9380 3.4027
K -0.8095 -10.1797 5.7558
K 4.3718 -5.7530 7.5409
K 6.9423 -5.7236 4.1367
K 2.7068 -1.1122 0.6673
K 3.5914 -3.0928 4.3546
K -0.1839 -7.1219 -0.2011
K 4.3938 -9.0249 4.8039
K 5.2785 -11.0055 8.4912
S 3.9926 -6.0589 4.5792
S 0.0000 0.0000 0.0000
```

3.
A relaxed KS3I crystal, computed with PBE-GGA.

Summary:
The calculated volume comes out at 141 Å³/cell. The value obtained for the total energy is -2.823 eV per atom. The offset from the most stable computed form is 0.000 eV/atom. The energy relative to the elements, uncorrected is 0.91 eV/f.u.

The structure in extended XYZ format:
```
5
Lattice="-3.3823 -0.9852 3.8278 3.8820 0.1196 3.4610 -0.7434 5.1066 0.6575" Properties=species:S:1:pos:R:3 pbc="T T T"
S -1.6912 -0.4926 1.9139
S 1.9410 0.0598 1.7305
S -0.3717 2.5533 0.3287
K -0.1219 2.1205 3.9731
I 0.0000 0.0000 0.0000
```

4.
A relaxed KS14I crystal, computed with PBE-GGA.

Summary:
The calculated volume comes out at 1147 Å³/cell. The value obtained for the total energy is -3.824 eV per atom. The energy relative to the elements, uncorrected is -0.75 eV/f.u.

The structure in extended XYZ format:
```
32
Lattice="10.9387 -0.8228 3.7214 -0.0127 11.9687 11.1235 -1.5856 7.0437 14.6579" Properties=species:S:1:pos:R:3 pbc="T T T"
S 4.9136 16.3593 24.4246
S 1.2539 1.7731 3.7182
S 9.9486 9.8501 18.4178
S 8.5034 8.1168 13.9808
S 0.3765 8.3331 16.5487
S 5.3534 0.9904 3.4976
S 5.3368 6.2626 12.0688
S 9.2551 11.4202 19.4744
S 6.3825 5.8027 10.5001
S 8.9639 9.8565 12.9542
S 6.1196 11.4799 18.0304
S 4.4268 1.8303 5.0782
S 9.3471 2.8474 7.7014
S 2.9579 12.3869 19.0027
S 0.0853 6.7694 10.0285
S -0.6081 8.3395 11.0850
S 2.9290 8.4970 12.3644
S 3.9870 17.1992 26.0052
S -0.0067 15.3422 21.8015
S 6.4114 9.6926 17.1385
S -0.6574 17.0388 22.4827
S 5.8356 8.1875 18.4406
S 3.2208 6.7097 11.4724
S 4.0036 11.9270 17.4340
S 0.8370 10.0729 15.5221
S 8.0865 16.4165 25.7846
S 3.5048 10.0021 11.0622
S 9.9978 1.1508 7.0202
K -0.7928 3.5219 7.3290
K 4.6765 3.1104 9.1897
I 6.9068 13.3339 22.3484
I 2.4336 4.8557 7.1545
```

5.
A relaxed K4S12I crystal, computed with PBE-GGA.

Summary:
The calculated volume comes out at 553 Å³/cell. The value obtained for the total energy is -3.678 eV per atom. The energy relative to the elements, uncorrected is -7.06 eV/f.u.

The structure in extended XYZ format:
```
17
Lattice="-3.6419 3.0597 -7.5887 -1.0563 -8.8822 0.4490 -4.0358 3.8445 7.0102" Properties=species:S:1:pos:R:3 pbc="T T T"
S -3.4345 -4.0951 -3.2931
S -3.0422 -1.1719 2.9577
S -5.0187 -4.0454 1.0106
S -3.7152 2.0675 -1.1400
S -5.2994 2.1171 3.1637
S -3.9961 -2.1156 4.3550
S -5.1534 3.3608 -1.2483
S -6.1795 1.0264 1.8263
S -2.5545 -3.0044 -1.9557
S -5.6917 -0.8061 -3.0871
S -3.5805 -5.3388 1.1189
S -4.7378 0.1376 -4.4844
I 0.0000 0.0000 0.0000
K -4.3670 -0.9890 -0.0647
K -1.8209 1.5299 -3.7943
K -2.0179 1.9223 3.5051
K -0.5281 -4.4411 0.2245
```

6.
A relaxed K4SI2 crystal, computed with PBE-GGA.

Summary:
The calculated volume comes out at 642 Å³/cell. The value obtained for the total energy is -2.893 eV per atom. The offset from the most stable computed form is 0.015 eV/atom. The energy relative to the elements, uncorrected is -8.63 eV/f.u.

The structure in extended XYZ format:
```
14
Lattice="-5.8511 4.5526 -2.7046 -6.3046 -5.5146 4.3568 3.4493 7.4382 5.0583" Properties=species:S:1:pos:R:3 pbc="T T T"
K -5.4898 1.7085 3.3050
K -2.5976 -0.5418 4.6419
K -6.1006 2.0072 -0.6929
K -3.5310 5.3934 -0.5520
K -6.1089 7.0180 2.0686
K -2.6058 4.4690 7.4034
K -3.2167 4.7677 3.4055
K -5.1754 1.0828 7.2625
I -3.7350 -0.8029 0.9722
I -4.9715 7.2791 5.7382
I -6.4568 -1.6122 5.4984
I -2.2496 8.0884 1.2121
S -5.4297 4.0921 1.3650
S -3.2767 2.3842 5.3455
```

7.
A relaxed KS8I2 crystal, computed with PBE-GGA.

Summary:
The calculated volume comes out at 391 Å³/cell. The value obtained for the total energy is -3.353 eV per atom. The energy relative to the elements, uncorrected is 0.34 eV/f.u.

The structure in extended XYZ format:
```
11
Lattice="0.2386 -8.4734 2.8084 9.3963 0.7128 1.3522 -5.5185 4.3445 2.5462" Properties=species:S:1:pos:R:3 pbc="T T T"
S -0.6582 1.1847 3.9492
S 2.2261 -6.0061 3.7867
S 7.1110 -5.6355 4.4896
S 4.0984 1.2124 4.3927
S 1.8903 2.5901 2.9202
S 0.0181 -4.6284 2.3142
S 4.7747 -4.6008 2.7577
S -2.9945 2.2195 2.2173
K 0.0000 0.0000 0.0000
I 4.4804 -0.9723 2.8899
I -0.3639 -2.4438 3.8170
```

8.
A relaxed KSI3 crystal, computed with PBE-GGA.

Summary:
The calculated volume comes out at 295 Å³/cell. The value obtained for the total energy is -1.564 eV per atom. The offset from the most stable computed form is 0.844 eV/atom. The energy relative to the elements, uncorrected is 2.05 eV/f.u.

The structure in extended XYZ format:
```
5
Lattice="-1.1567 3.4581 5.5662 3.2199 -4.6230 3.5412 5.7074 3.3089 -0.8697" Properties=species:S:1:pos:R:3 pbc="T T T"
S 3.8853 1.0721 4.1188
I -0.5783 1.7291 2.7831
I 1.6099 -2.3115 1.7706
I 2.8537 1.6545 -0.4349
K 0.0000 0.0000 0.0000
```